No. 1
DFT (PBE-GGA) results for a relaxed structure of LaAs2Ir.

Structure (extended XYZ):
```
4
Lattice="4.1234 0.0000 0.0000 0.0000 4.6345 0.0017 0.0000 1.0942 4.5892" Properties=species:S:1:pos:R:3 pbc="T T T"
As 0.0000 2.4333 2.1997
As 0.0000 0.4310 0.0957
La 2.0617 4.2965 3.4431
Ir 2.0617 1.4322 1.1477
```

Values from the calculation:
Crystal system: monoclinic
Raw total energy: -6.66 eV per atom


No. 2
DFT (PBE-GGA) results for a relaxed structure of LaAs2Ir.

Structure (extended XYZ):
```
4
Lattice="4.1102 -0.0104 0.0084 2.0649 3.5538 0.0084 2.0460 1.1741 5.6930" Properties=species:S:1:pos:R:3 pbc="T T T"
As 2.0473 1.1748 5.2915
As 4.1093 2.3580 3.2563
Ir 6.1658 3.5381 4.2823
La 2.0553 1.1794 1.4274
```

Values from the calculation:
Crystal system: trigonal
Raw total energy: -6.70 eV per atom